Entry 1:
Below is crystalline BiPPb2 at its relaxed geometry, with properties calculated at the PBE-GGA level.

a b c (Å): 5.392 5.392 5.392
angles (deg): 60.00 60.00 60.00
Sites, in units of the cell vectors:
Pb1 0.250 0.250 0.250
Pb2 0.750 0.750 0.750
P1 0.000 0.000 0.000
Bi1 0.500 0.500 0.500

***

Entry 2:
Below is crystalline TbAs3 at its relaxed geometry, with properties calculated at the PBE-GGA level.

a b c (Å): 3.965 4.231 5.743
angles (deg): 90.00 90.00 90.00
Sites, in units of the cell vectors:
As1 0.500 0.276 0.000
As2 0.500 0.454 0.500
As3 0.000 0.846 0.500
Tb1 0.000 0.758 0.000

***

Entry 3:
Below is crystalline Li3YCu at its relaxed geometry, with properties calculated at the PBE-GGA level.

a b c (Å): 5.528 5.528 5.528
angles (deg): 90.00 90.00 90.00
Each line ends with the local moment (μB).
Sites, in units of the cell vectors:
Y1 0.000 0.000 0.000  0.87
Cu1 0.500 0.500 0.500  -0.01
Li1 0.000 0.500 0.000  0.03
Li2 0.000 0.000 0.500  0.04
Li3 0.500 0.000 0.000  0.04

***

Entry 4:
Below is crystalline PrDy2Al2 at its relaxed geometry, with properties calculated at the PBE-GGA level.

a b c (Å): 3.618 8.597 8.597
angles (deg): 90.00 90.00 90.00
Sites, in units of the cell vectors:
Pr1 0.500 0.500 0.000
Pr2 0.500 0.000 0.500
Dy1 0.000 0.679 0.321
Dy2 0.000 0.821 0.821
Dy3 0.000 0.179 0.179
Dy4 0.000 0.321 0.679
Al1 0.500 0.387 0.387
Al2 0.500 0.887 0.113
Al3 0.500 0.113 0.887
Al4 0.500 0.613 0.613

***

Total energy, respectively: -3.8596 -5.2745 -1.8983 -4.5694 eV per atom.
Theoretical density, respectively: 9.8 6.6 1.7 6.5 g/cm3.